1.
The following is a PBE-GGA calculation of HoSb2 after structural relaxation, from OQMD.

a b c (Å): 3.5809 3.5809 7.7761
angles (deg): 90.00 90.00 121.35
Last column: nearest neighbours and their distance in Å.
Sites, in units of the cell vectors:
Ho: 0.0000 0.0000 0.0000  4 Sb 3.06
Sb: 0.0000 0.5000 0.3186  2 Ho 3.06, 2 Sb 3.32
Sb: 0.5000 0.0000 0.6814  2 Ho 3.06, 2 Sb 3.32

VASP energy, hartree per atom: -0.164
Calculated density, g cm⁻³: 8.0
Space group: C222

2.
The following is a PBE-GGA calculation of SrZn2P2O8 after structural relaxation, from OQMD.

a b c (Å): 8.2808 9.4876 8.9645
angles (deg): 90.00 92.61 90.00
Last column: nearest neighbours and their distance in Å.
Sites, in units of the cell vectors:
Sr: 0.2435 0.0814 0.1093  7 O 2.52-2.66
Sr: 0.2435 0.4186 0.6093  7 O 2.52-2.66
Sr: 0.7565 0.5814 0.3907  7 O 2.52-2.66
Sr: 0.7565 0.9186 0.8907  7 O 2.52-2.66
Zn: 0.0816 0.6786 0.0482  4 O 1.92-1.99
Zn: 0.0816 0.8214 0.5482  4 O 1.92-1.99
Zn: 0.4265 0.0710 0.7118  4 O 1.93-2.00
Zn: 0.4265 0.4290 0.2118  4 O 1.93-2.00
Zn: 0.5735 0.5710 0.7882  4 O 1.93-2.00
Zn: 0.5735 0.9290 0.2882  4 O 1.93-2.00
Zn: 0.9184 0.1786 0.4518  4 O 1.92-1.99
Zn: 0.9184 0.3214 0.9518  4 O 1.92-1.99
P: 0.0576 0.0836 0.7527  4 O 1.54-1.56
P: 0.0576 0.4164 0.2527  4 O 1.54-1.56
P: 0.4563 0.7058 0.0673  4 O 1.54-1.56
P: 0.4563 0.7942 0.5673  4 O 1.54-1.56
P: 0.5437 0.2058 0.4327  4 O 1.54-1.56
P: 0.5437 0.2942 0.9327  4 O 1.54-1.56
P: 0.9424 0.5836 0.7473  4 O 1.54-1.56
P: 0.9424 0.9164 0.2473  4 O 1.54-1.56
O: 0.0228 0.0515 0.3131  1 P 1.55
O: 0.0228 0.4485 0.8131  1 P 1.55
O: 0.0493 0.6268 0.6167  1 P 1.56
O: 0.0493 0.8732 0.1167  1 P 1.56
O: 0.0663 0.1979 0.6313  1 P 1.54
O: 0.0663 0.3021 0.1313  1 P 1.54
O: 0.2290 0.0562 0.8235  1 P 1.55
O: 0.2290 0.4438 0.3235  1 P 1.55
O: 0.3004 0.6366 0.0018  1 P 1.54
O: 0.3004 0.8634 0.5018  1 P 1.54
O: 0.4134 0.2068 0.5518  1 P 1.55
O: 0.4134 0.2932 0.0518  1 P 1.55
O: 0.4283 0.6405 0.6188  1 P 1.55
O: 0.4283 0.8595 0.1188  1 P 1.55
O: 0.4744 0.1150 0.2997  1 P 1.56
O: 0.4744 0.3850 0.7997  1 P 1.56
O: 0.5256 0.6150 0.2003  1 P 1.56
O: 0.5256 0.8850 0.7003  1 P 1.56
O: 0.5717 0.1405 0.8812  1 P 1.55
O: 0.5717 0.3595 0.3812  1 P 1.55
O: 0.5866 0.7068 0.9482  1 P 1.55
O: 0.5866 0.7932 0.4482  1 P 1.55
O: 0.6996 0.1366 0.4982  1 P 1.54
O: 0.6996 0.3634 0.9982  1 P 1.54
O: 0.7710 0.5562 0.6765  1 P 1.55
O: 0.7710 0.9438 0.1765  1 P 1.55
O: 0.9337 0.6979 0.8687  1 P 1.54
O: 0.9337 0.8021 0.3687  1 P 1.54
O: 0.9507 0.1268 0.8833  1 P 1.56
O: 0.9507 0.3732 0.3833  1 P 1.56
O: 0.9772 0.5515 0.1869  1 P 1.55
O: 0.9772 0.9485 0.6869  1 P 1.55

VASP energy, hartree per atom: -0.239
Calculated density, g cm⁻³: 3.9
Space group: P2_1/c

3.
The following is a PBE-GGA calculation of BiPdW2 after structural relaxation, from OQMD.

a b c (Å): 4.6829 4.6829 4.6829
angles (deg): 60.00 60.00 60.00
Last column: nearest neighbours and their distance in Å.
Sites, in units of the cell vectors:
Bi: 0.0000 0.0000 0.0000  4 W 2.87, 4 Pd 2.87
Pd: 0.2500 0.2500 0.2500  4 W 2.87, 4 Bi 2.87
W: 0.5000 0.5000 0.5000  4 W 2.87, 4 Pd 2.87
W: 0.7500 0.7500 0.7500  4 Bi 2.87, 4 W 2.87

VASP energy, hartree per atom: -0.294
Calculated density, g cm⁻³: 15.6
Space group: F-43m

4.
The following is a PBE-GGA calculation of LaTmCd2Ga2 after structural relaxation, from OQMD.

a b c (Å): 4.6665 4.6665 7.5510
angles (deg): 90.00 90.00 120.00
Last column: nearest neighbours and their distance in Å.
Sites, in units of the cell vectors:
La: 0.0000 0.0000 0.0000  3 Ga 3.16, 6 Cd 3.29-3.50
Tm: 0.0000 0.0000 0.4984  6 Ga 3.07-3.42, 6 Cd 3.09-3.30
Cd: 0.3333 0.6667 0.7508  3 Ga 2.73
Cd: 0.6667 0.3333 0.2967  4 Ga 2.76-2.99
Ga: 0.3333 0.6667 0.2184  3 Cd 2.76
Ga: 0.6667 0.3333 0.6925  4 Cd 2.73-2.99

VASP energy, hartree per atom: -0.124
Calculated density, g cm⁻³: 7.8
Space group: P3m1

Question: Number 4 is which compound?
Answer: LaTmCd2Ga2

Question: calculated density of number 2 (SrZn2P2O8)?
Answer: 3.9 g cm⁻³

Please write out number 4 again, unchanged.
The following is a PBE-GGA calculation of LaTmCd2Ga2 after structural relaxation, from OQMD.

a b c (Å): 4.6665 4.6665 7.5510
angles (deg): 90.00 90.00 120.00
Last column: nearest neighbours and their distance in Å.
Sites, in units of the cell vectors:
La: 0.0000 0.0000 0.0000  3 Ga 3.16, 6 Cd 3.29-3.50
Tm: 0.0000 0.0000 0.4984  6 Ga 3.07-3.42, 6 Cd 3.09-3.30
Cd: 0.3333 0.6667 0.7508  3 Ga 2.73
Cd: 0.6667 0.3333 0.2967  4 Ga 2.76-2.99
Ga: 0.3333 0.6667 0.2184  3 Cd 2.76
Ga: 0.6667 0.3333 0.6925  4 Cd 2.73-2.99

VASP energy, hartree per atom: -0.124
Calculated density, g cm⁻³: 7.8
Space group: P3m1